The following is a PBE+U calculation of a relaxed ZnW4O8 crystal, from Alexandria.

Calculated values
Energy ... -267.31 eV per cell

The structure in CIF format:
```
data_ZnW4O8
_chemical_formula_sum 'Zn3 W12 O24'
_cell_length_a 6.5599
_cell_length_b 6.5599
_cell_length_c 14.6348
_cell_angle_alpha 90.00
_cell_angle_beta 90.00
_cell_angle_gamma 120.00
_symmetry_space_group_name_H-M 'R -3 m'
_symmetry_Int_Tables_number 166
_symmetry_space_group_name_Hall '-R 3 2"'
loop_
_atom_site_label
_atom_site_type_symbol
_atom_site_fract_x
_atom_site_fract_y
_atom_site_fract_z
_atom_site_occupancy
Zn1 Zn 0.0000 0.0000 0.0000 1
W1 W 0.0000 0.0000 0.5000 1
W2 W 0.0000 0.5000 0.5000 1
O1 O 0.0000 0.0000 0.2272 1
O2 O 0.0158 0.5079 0.7605 1
```

The following is a PBE+U calculation of a relaxed ZnW5O7 crystal, from Alexandria.

Calculated values
Energy ... -335.83 eV per cell

The structure in CIF format:
```
data_ZnW5O7
_chemical_formula_sum 'Zn4 W20 O28'
_cell_length_a 3.2474
_cell_length_b 11.0301
_cell_length_c 18.9241
_cell_angle_alpha 90.00
_cell_angle_beta 90.00
_cell_angle_gamma 90.00
_symmetry_space_group_name_H-M 'C m c m'
_symmetry_Int_Tables_number 63
_symmetry_space_group_name_Hall '-C 2c 2'
loop_
_atom_site_label
_atom_site_type_symbol
_atom_site_fract_x
_atom_site_fract_y
_atom_site_fract_z
_atom_site_occupancy
Zn1 Zn 0.0000 0.1492 0.2500 1
W1 W 0.0000 0.0000 0.0000 1
W2 W 0.0000 0.2874 0.5792 1
W3 W 0.0000 0.4552 0.1478 1
O1 O 0.0000 0.1138 0.1409 1
O2 O 0.0000 0.1654 0.6652 1
O3 O 0.0000 0.3311 0.0415 1
O4 O 0.0000 0.4667 0.7500 1
```

The following is a PBE+U calculation of a relaxed ZnW4O8 crystal, from Alexandria.

Calculated values
Energy ... -91.47 eV per cell

The structure in CIF format:
```
data_ZnW4O8
_chemical_formula_sum 'Zn1 W4 O8'
_cell_length_a 3.3009
_cell_length_b 7.7252
_cell_length_c 7.7652
_cell_angle_alpha 88.16
_cell_angle_beta 77.74
_cell_angle_gamma 79.58
_symmetry_space_group_name_H-M 'P 1'
_symmetry_Int_Tables_number 1
loop_
_symmetry_equiv_pos_as_xyz
'x,y,z'
loop_
_atom_site_label
_atom_site_type_symbol
_atom_site_fract_x
_atom_site_fract_y
_atom_site_fract_z
_atom_site_occupancy
Zn1 Zn 0.0000 0.0000 0.0000 1
W1 W 0.2005 0.5091 0.1866 1
W2 W 0.4052 0.8187 0.5092 1
W3 W 0.7393 0.1874 0.4925 1
W4 W 0.8933 0.4964 0.8153 1
O1 O 0.0441 0.6989 0.3809 1
O2 O 0.1030 0.3047 0.6224 1
O3 O 0.3613 0.0556 0.3758 1
O4 O 0.3690 0.3796 0.9457 1
O5 O 0.4194 0.6253 0.6982 1
O6 O 0.7079 0.6257 0.0558 1
O7 O 0.7179 0.3783 0.3020 1
O8 O 0.7828 0.9503 0.6259 1
```